(1)
# TlAsW2S (PBE-GGA, relaxed)
data_TlAsW2S
_chemical_formula_sum 'Tl1 As1 W2 S1'
_symmetry_space_group_name_H-M 'P 4/m m m'
_symmetry_Int_Tables_number 123
_symmetry_space_group_name_Hall '-P 4 2'
_cell_length_a 4.4337
_cell_length_b 4.4337
_cell_length_c 5.6047
_cell_angle_alpha 90.00
_cell_angle_beta 90.00
_cell_angle_gamma 90.00
loop_
_atom_site_label
_atom_site_fract_x
_atom_site_fract_y
_atom_site_fract_z
_atom_site_occupancy
Tl1 0.0000 0.0000 0.0000 1
As1 0.5000 0.5000 0.0000 1
W1 0.0000 0.5000 0.5000 1
S1 0.0000 0.0000 0.5000 1
# D(E_F): 4.4 states/eV/f.u.
# total magnetization: 0.0 μB per cell
# ΔE_f (raw): 620 kJ/mol of formula units

=====

(2)
# Y6TlAs2S3 (PBE-GGA, relaxed)
data_Y6TlAs2S3
_chemical_formula_sum 'Y12 Tl2 As4 S6'
_symmetry_space_group_name_H-M 'C 1 2/m 1'
_symmetry_Int_Tables_number 12
_symmetry_space_group_name_Hall '-C 2y'
_cell_length_a 17.7982
_cell_length_b 4.0305
_cell_length_c 8.2401
_cell_angle_alpha 90.00
_cell_angle_beta 103.25
_cell_angle_gamma 90.00
loop_
_atom_site_label
_atom_site_fract_x
_atom_site_fract_y
_atom_site_fract_z
_atom_site_occupancy
Y1 0.0012 0.0000 0.2306 1
Y2 0.1683 0.5000 0.0822 1
Y3 0.1720 0.5000 0.5869 1
Tl1 0.0000 0.5000 0.5000 1
As1 0.1668 0.0000 0.8341 1
S1 0.0000 0.5000 0.0000 1
S2 0.1682 0.0000 0.3314 1
# D(E_F): 4.2 states/eV/f.u.
# total magnetization: 0.0 μB per cell
# ΔE_f (raw): -1791 kJ/mol of formula units

=====

(3)
# Zr2TlAsS (PBE-GGA, relaxed)
data_Zr2TlAsS
_chemical_formula_sum 'Zr2 Tl1 As1 S1'
_symmetry_space_group_name_H-M 'P 4/m m m'
_symmetry_Int_Tables_number 123
_symmetry_space_group_name_Hall '-P 4 2'
_cell_length_a 4.8322
_cell_length_b 4.8322
_cell_length_c 5.4098
_cell_angle_alpha 90.00
_cell_angle_beta 90.00
_cell_angle_gamma 90.00
loop_
_atom_site_label
_atom_site_fract_x
_atom_site_fract_y
_atom_site_fract_z
_atom_site_occupancy
Zr1 0.0000 0.5000 0.0000 1
Tl1 0.0000 0.0000 0.5000 1
As1 0.5000 0.5000 0.5000 1
S1 0.0000 0.0000 0.0000 1
# D(E_F): 5.8 states/eV/f.u.
# total magnetization: 0.0 μB per cell
# ΔE_f (raw): 33 kJ/mol of formula units

=====

(4)
# Tm5AsS5 (PBE-GGA, relaxed)
data_Tm5AsS5
_chemical_formula_sum 'Tm10 As2 S10'
_symmetry_space_group_name_H-M 'C 1 2/m 1'
_symmetry_Int_Tables_number 12
_symmetry_space_group_name_Hall '-C 2y'
_cell_length_a 12.2719
_cell_length_b 5.4984
_cell_length_c 7.7794
_cell_angle_alpha 90.00
_cell_angle_beta 108.44
_cell_angle_gamma 90.00
loop_
_atom_site_label
_atom_site_fract_x
_atom_site_fract_y
_atom_site_fract_z
_atom_site_occupancy
Tm1 0.0000 0.0000 0.0000 1
Tm2 0.1625 0.5000 0.8238 1
Tm3 0.1663 0.5000 0.3392 1
As1 0.0000 0.5000 0.0000 1
S1 0.0000 0.5000 0.5000 1
S2 0.1680 0.0000 0.3327 1
S3 0.1716 0.0000 0.8398 1
# D(E_F): 3.1 states/eV/f.u.
# total magnetization: 0.0 μB per cell
# ΔE_f (raw): -2073 kJ/mol of formula units

=====

> Look up the ΔE_f (raw) of the first one.

620 kJ/mol of formula units